# Cr4OF11 (GGA+U, optimized geometry)
# Energy above the most stable polymorph in this dataset, meV/atom: 2
data_Cr4OF11
_cell_length_a 5.368
_cell_length_b 5.093
_cell_length_c 7.288
_cell_angle_alpha 90.00
_cell_angle_beta 94.28
_cell_angle_gamma 90.00
_space_group_name_H-M_alt 'P 1 2 1'
_space_group_IT_number 3
loop_
_space_group_symop_operation_xyz
'x,y,z'
'-x,y,-z'
loop_
_atom_site_label
_atom_site_fract_x
_atom_site_fract_y
_atom_site_fract_z
Cr1 0.000 0.000 0.239
Cr2 0.499 0.496 0.750
O1 0.000 0.121 0.000
F1 0.000 0.889 0.500
F2 0.189 0.686 0.188
F3 0.191 0.306 0.690
F4 0.310 0.187 0.311
F5 0.310 0.806 0.813
F6 0.500 0.366 0.000
F7 0.500 0.624 0.500